Ce7Ru2Rh2 (PBE-GGA, optimized geometry); D(E_F) = 1.849 states/eV per atom; VASP energy = -7.1760 eV per atom; formation energy = -0.377 eV per atom
1.0
3.511 -4.694 0.000
3.511 4.694 0.000
-3.375 0.000 7.543
Ce Ru Rh
7 2 2
Direct
0.000 0.000 0.000
0.125 0.501 0.848
0.221 0.221 0.462
0.499 0.875 0.152
0.501 0.125 0.848
0.779 0.779 0.538
0.875 0.499 0.152
0.380 0.380 0.208
0.620 0.620 0.792
0.260 0.740 0.500
0.740 0.260 0.500


Pm3Th2UN6 (PBE-GGA, optimized geometry); D(E_F) = 0.448 states/eV per atom; uncorrected formation energy = -1.511 eV/atom; VASP energy = -9.0385 eV per atom
1.0
3.121 -5.405 0.000
3.121 5.405 0.000
-2.077 0.000 5.852
Pm Th U N
3 2 1 6
Direct
0.000 0.000 0.000
0.334 0.666 0.000
0.666 0.334 0.000
0.167 0.833 0.500
0.833 0.167 0.500
0.500 0.500 0.500
0.116 0.425 0.276
0.267 0.267 0.726
0.425 0.116 0.276
0.575 0.884 0.724
0.733 0.733 0.274
0.884 0.575 0.724


Li3Zn2Ga4Ag2 (PBE-GGA, optimized geometry); D(E_F) = 0.187 states/eV per atom; VASP energy = -2.5049 eV per atom; formation energy = -0.132 eV per atom
1.0
4.433 0.000 0.000
-2.217 3.839 0.000
0.000 0.000 11.244
Li Zn Ga Ag
3 2 4 2
Direct
0.000 0.000 0.000
0.000 0.000 0.257
0.000 0.000 0.743
0.333 0.667 0.120
0.667 0.333 0.880
0.333 0.667 0.357
0.333 0.667 0.855
0.667 0.333 0.145
0.667 0.333 0.643
0.333 0.667 0.594
0.667 0.333 0.406


CeTiBi3 (PBE-GGA, optimized geometry); D(E_F) = 1.675 states/eV per atom; energy relative to the lowest polymorph listed for this composition = 0 meV/atom; VASP energy = -5.5219 eV per atom; formation energy = -0.428 eV per atom
1.0
13.437 0.000 0.000
0.000 6.619 0.000
0.000 0.000 6.383
Ce Ti Bi
4 4 12
Direct
0.189 0.008 0.250
0.189 0.492 0.750
0.811 0.508 0.250
0.811 0.992 0.750
0.405 0.750 0.000
0.405 0.750 0.500
0.595 0.250 0.000
0.595 0.250 0.500
0.002 0.750 0.000
0.002 0.750 0.500
0.265 0.511 0.250
0.265 0.989 0.750
0.430 0.106 0.250
0.430 0.394 0.750
0.570 0.606 0.250
0.570 0.894 0.750
0.735 0.011 0.250
0.735 0.489 0.750
0.998 0.250 0.000
0.998 0.250 0.500


> Among the records above, which one has the highest D(E_F)?

Ce7Ru2Rh2